# PaFe2RuO8 PBE with a Hubbard U optimized geometry
# E: -177.84 eV/cell
data_PaFe2RuO8
_cell_length_a 6.679
_cell_length_b 6.679
_cell_length_c 6.859
_cell_angle_alpha 90.00
_cell_angle_beta 90.00
_cell_angle_gamma 90.00
_symmetry_space_group_name_H-M 'I -4 m 2'
_symmetry_Int_Tables_number 119
_symmetry_space_group_name_Hall 'I -4 -2'
loop_
_atom_site_label
_atom_site_fract_x
_atom_site_fract_y
_atom_site_fract_z
Pa1 0.000 0.000 0.000
Fe1 0.000 0.000 0.500
Fe2 0.000 0.500 0.750
Ru1 0.000 0.500 0.250
O1 0.000 0.205 0.305
O2 0.000 0.314 0.951